Material: Cd8SnPd6
Method: DFT, PBE
State: relaxed

Lattice parameters (Å, degrees): 7.231 7.231 7.231 66.63 66.63 66.63
Sites, in units of the cell vectors:
1 Cd 0.035 0.723 0.382
2 Cd 0.169 0.169 0.169
3 Cd 0.277 0.618 0.965
4 Cd 0.382 0.035 0.723
5 Cd 0.618 0.965 0.277
6 Cd 0.723 0.382 0.035
7 Cd 0.831 0.831 0.831
8 Cd 0.965 0.277 0.618
9 Sn 0.500 0.500 0.500
10 Pd 0.127 0.451 0.779
11 Pd 0.221 0.873 0.549
12 Pd 0.451 0.779 0.127
13 Pd 0.549 0.221 0.873
14 Pd 0.779 0.127 0.451
15 Pd 0.873 0.549 0.221

Calculated values
For the energy of formation from the pure elements, the calculation gives -325.7 meV per atom. The value obtained for the volume is 20.36 Å³ per atom. As for the space-group type: R-3, No. 148.